## KZn2Ga (PBE)

Data for a relaxed structure of KZn2Ga.

abc: 4.405 4.400 6.709
angles: 108.92 90.00 120.04
Fractional coordinates of all 4 atoms:
1 Zn 0.062 0.123 0.185
2 Zn 0.741 0.483 0.223
3 K 0.251 0.502 0.753
4 Ga 0.446 0.893 0.339

## Properties
- Crystal system: monoclinic
- ΔE_f: -0.2 eV per formula unit


## RbPuZnBr6 (PBE)

Data for a relaxed structure of RbPuZnBr6.

abc: 7.276 7.276 15.115
angles: 90.00 90.00 120.00
Fractional coordinates of all 18 atoms:
1 Br 0.023 0.384 0.647
2 Br 0.616 0.639 0.647
3 Br 0.616 0.977 0.853
4 Br 0.977 0.361 0.147
5 Br 0.361 0.384 0.853
6 Br 0.384 0.023 0.147
7 Br 0.361 0.977 0.647
8 Br 0.384 0.361 0.353
9 Br 0.639 0.023 0.353
10 Br 0.977 0.616 0.353
11 Br 0.639 0.616 0.147
12 Br 0.023 0.639 0.853
13 Zn 0.333 0.667 0.750
14 Zn 0.667 0.333 0.250
15 Pu 0.333 0.667 0.250
16 Pu 0.667 0.333 0.750
17 Rb 0.000 0.000 0.500
18 Rb 0.000 0.000 0.000

## Properties
- Raw formation energy: -11.9 eV/f.u.
- Crystal system: trigonal


## BeRe2Tc (PBE)

Data for a relaxed structure of BeRe2Tc.

abc: 3.005 3.005 5.897
angles: 90.00 90.00 90.00
Fractional coordinates of all 4 atoms:
1 Re 0.500 0.500 0.243
2 Re 0.000 0.000 0.973
3 Be 0.500 0.500 0.750
4 Tc 0.000 0.000 0.533

## Properties
- Crystal system: tetragonal
- ΔE_f: 0.0 eV per formula unit


## KTiI3 (PBE)

Data for a relaxed structure of KTiI3.

abc: 6.282 6.282 6.282
angles: 90.00 90.00 90.00
Fractional coordinates of all 5 atoms:
1 K 0.000 0.000 0.000
2 I 0.000 0.000 0.500
3 I 0.000 0.500 0.000
4 I 0.500 0.000 0.000
5 Ti 0.500 0.500 0.500

## Properties
- Raw formation energy: 1.3 eV/f.u.
- Crystal system: cubic


## YCrSe2 (PBE)

Data for a relaxed structure of YCrSe2.

abc: 5.965 5.965 7.835
angles: 67.62 67.62 90.00
Fractional coordinates of all 8 atoms:
1 Cr 0.250 0.750 0.500
2 Cr 0.500 0.500 0.000
3 Y 0.750 0.250 0.500
4 Y 0.000 0.000 0.000
5 Se 0.149 0.625 0.250
6 Se 0.375 0.399 0.750
7 Se 0.601 0.125 0.250
8 Se 0.875 0.851 0.750

## Properties
- Raw formation energy: -3.5 eV/f.u.
- Crystal system: tetragonal
- E above lowest polymorph: 185.9 meV/atom


## Tb3Nd6Dy2Th (PBE)

Data for a relaxed structure of Tb3Nd6Dy2Th.

abc: 6.273 6.273 11.988
angles: 95.02 95.02 119.94
Fractional coordinates of all 12 atoms:
1 Tb 0.167 0.833 0.500
2 Tb 0.500 0.500 0.500
3 Tb 0.833 0.167 0.500
4 Nd 0.917 0.587 0.751
5 Nd 0.413 0.083 0.249
6 Nd 0.247 0.247 0.751
7 Nd 0.587 0.917 0.751
8 Nd 0.753 0.753 0.249
9 Nd 0.083 0.413 0.249
10 Dy 0.667 0.333 0.000
11 Dy 0.333 0.667 0.000
12 Th 0.000 0.000 0.000

## Properties
- Crystal system: monoclinic
- ΔE_f: 0.4 eV per formula unit


## BePt2W (PBE)

Data for a relaxed structure of BePt2W.

abc: 2.773 2.773 7.053
angles: 90.00 90.00 90.00
Fractional coordinates of all 4 atoms:
1 Pt 0.000 0.000 0.959
2 Pt 0.000 0.000 0.541
3 Be 0.500 0.500 0.750
4 W 0.500 0.500 0.250

## Properties
- Crystal system: tetragonal
- ΔE_f: -2.0 eV per formula unit


## Li2GaAu5 (PBE)

Data for a relaxed structure of Li2GaAu5.

abc: 5.952 5.952 5.648
angles: 121.88 121.88 89.67
Fractional coordinates of all 8 atoms:
1 Au 0.722 0.222 0.944
2 Au 0.723 0.723 0.444
3 Au 0.223 0.223 0.946
4 Au 0.222 0.722 0.944
5 Au 0.721 0.721 0.942
6 Ga 0.222 0.222 0.444
7 Li 0.221 0.723 0.444
8 Li 0.723 0.221 0.444

## Properties
- Crystal system: monoclinic
- E above lowest polymorph: 25.5 meV/atom
- ΔE_f: -3.0 eV per formula unit


## Hg7Cl (PBE)

Data for a relaxed structure of Hg7Cl.

abc: 6.721 6.721 6.721
angles: 60.00 60.00 60.00
Fractional coordinates of all 8 atoms:
1 Hg 0.000 0.500 0.500
2 Hg 0.000 0.500 0.000
3 Hg 0.500 0.000 0.000
4 Hg 0.000 0.000 0.500
5 Hg 0.500 0.000 0.500
6 Hg 0.500 0.500 0.500
7 Hg 0.500 0.500 0.000
8 Cl 0.000 0.000 0.000

## Properties
- Raw formation energy: -0.3 eV/f.u.
- Crystal system: cubic
- E above lowest polymorph: 38.8 meV/atom


## Fe2AgRhN (PBE)

Data for a relaxed structure of Fe2AgRhN.

abc: 3.906 3.906 4.101
angles: 90.00 90.00 90.00
Fractional coordinates of all 5 atoms:
1 Rh 0.000 0.000 0.500
2 N 0.000 0.000 0.000
3 Fe 0.500 0.000 0.000
4 Fe 0.000 0.500 0.000
5 Ag 0.500 0.500 0.500

## Properties
- Raw formation energy: 0.5 eV/f.u.
- Crystal system: tetragonal


Q: Number 2 is which compound?
A: RbPuZnBr6